1.
The following is a DFT calculation (PBEsol) of an optimized crystal structure of Sr2LiAu2.

POSCAR file:
```
Sr2LiAu2
1.0
-2.5528 -2.0200 2.7586
4.1372 -6.7609 -1.1221
4.9021 2.0034 6.0034
Li Sr Au
2 4 4
direct
0.0000 0.5000 0.5000
0.0000 0.0000 0.0000
0.5000 0.8289 0.3289
0.5000 0.3289 0.1711
0.5000 0.6711 0.8289
0.5000 0.1711 0.6711
0.0000 0.8727 0.6273
0.0000 0.3727 0.8727
0.0000 0.1273 0.3727
0.0000 0.6273 0.1273
```

Results
The value obtained for the offset from the most stable computed form is 0.000 eV/atom. Its total magnetic moment is 0.00 μB per atom. As for the symmetry: P4/mbm, No. 127.



2.
The following is a DFT calculation (PBEsol) of an optimized crystal structure of Ba2BeFe.

POSCAR file:
```
Ba2BeFe
1.0
-2.6549 1.7993 -1.3532
0.8518 -3.7403 -2.1675
-5.2374 -3.2751 5.9208
Be Ba Fe
1 2 1
direct
0.5000 0.0000 0.0000
0.7546 0.5092 0.7423
0.2454 0.4908 0.2577
0.0000 0.0000 0.5000
```

Results
Its total magnetic moment is 0.53 μB per atom. As for the symmetry: C2/m, No. 12. The calculation puts the total energy at -3.28 eV per atom.



3.
The following is a DFT calculation (PBEsol) of an optimized crystal structure of K4Zr6CBr18.

POSCAR file:
```
K4Zr6CBr18
1.0
10.1609 0.0108 -0.0473
-2.4733 10.0171 0.0136
-1.8551 -5.5740 8.5945
Br K Zr C
18 4 6 1
direct
0.1801 0.3732 0.1008
0.8199 0.6268 0.8992
0.2036 0.7801 0.2930
0.7964 0.2199 0.7070
0.4893 0.0836 0.7992
0.1739 0.5801 0.8898
0.1759 0.9754 0.9010
0.8261 0.4199 0.1102
0.8382 0.6216 0.5062
0.1626 0.1632 0.6853
0.1618 0.3784 0.4938
0.5107 0.9164 0.2008
0.4940 0.7070 0.7872
0.5197 0.7093 0.4159
0.8374 0.8368 0.3147
0.5060 0.2930 0.2128
0.8241 0.0246 0.0990
0.4803 0.2907 0.5841
0.8137 0.2734 0.4340
0.1863 0.7266 0.5660
0.8491 0.9620 0.7719
0.1509 0.0380 0.2281
0.6349 0.3734 0.8671
0.3493 0.4448 0.7721
0.3556 0.2642 0.9560
0.3651 0.6266 0.1329
0.6444 0.7358 0.0440
0.6507 0.5552 0.2279
0.5000 0.5000 0.0000
```

Results
Its total magnetic moment is 0.00 μB per atom. As for the symmetry: P-1, No. 2. The calculation puts the total energy at -5.08 eV per atom.



4.
The following is a DFT calculation (PBEsol) of an optimized crystal structure of ZrNiCl2.

POSCAR file:
```
ZrNiCl2
1.0
-0.8934 1.7738 2.5227
1.7399 -1.8741 1.9415
5.8444 4.3797 -1.0098
Cl Zr Ni
2 1 1
direct
0.0000 0.0000 0.0629
0.5000 0.5000 0.6476
0.5000 0.5000 0.3045
0.0000 0.0000 0.4851
```

Results
The value obtained for the offset from the most stable computed form is 0.000 eV/atom. Its total magnetic moment is 0.00 μB per atom. As for the symmetry: Cmm2, No. 35.



5.
The following is a DFT calculation (PBEsol) of an optimized crystal structure of Cs3VS4.

POSCAR file:
```
Cs3VS4
1.0
9.6257 0.0000 0.0000
0.0000 9.6531 0.0000
0.0000 0.0000 11.3390
Cs S V
12 16 4
direct
0.4551 0.7920 0.4599
0.3505 0.5885 0.7500
0.4551 0.7920 0.0401
0.5449 0.2080 0.9599
0.0449 0.2920 0.9599
0.0449 0.2920 0.5401
0.6494 0.4115 0.2500
0.1494 0.0885 0.2500
0.9551 0.7080 0.4599
0.9551 0.7080 0.0401
0.5449 0.2080 0.5401
0.8506 0.9115 0.7500
0.3303 0.4530 0.0938
0.6697 0.5470 0.5938
0.5162 0.0661 0.2500
0.8303 0.0470 0.4062
0.7886 0.2608 0.7500
0.8303 0.0470 0.0938
0.2886 0.2392 0.7500
0.9838 0.5661 0.7500
0.0162 0.4339 0.2500
0.1697 0.9530 0.5938
0.2114 0.7392 0.2500
0.6697 0.5470 0.9062
0.1697 0.9530 0.9062
0.4838 0.9339 0.7500
0.3303 0.4530 0.4062
0.7114 0.7608 0.2500
0.2767 0.0176 0.7500
0.7233 0.9824 0.2500
0.2233 0.5176 0.2500
0.7767 0.4824 0.7500
```

Results
Its total magnetic moment is 0.00 μB per atom. As for the symmetry: Pnma, No. 62. The calculation puts the total energy at -4.97 eV per atom.



6.
The following is a DFT calculation (PBEsol) of an optimized crystal structure of Sr2CuSi.

POSCAR file:
```
Sr2CuSi
1.0
-2.7715 2.2193 1.5304
-3.0896 -3.9063 0.0696
1.9921 -1.4732 5.7440
Si Sr Cu
1 2 1
direct
0.5000 0.5000 0.5000
0.0000 0.0000 0.5000
0.5000 0.5000 0.0000
0.0000 0.0000 0.0000
```

Results
Its total magnetic moment is 0.00 μB per atom. As for the symmetry: Pmmm, No. 47. The calculation puts the total energy at -3.33 eV per atom.



Question: What is the formula in the second record?
Answer: Ba2BeFe